First-principles (PBE) data for AlTlRu2 after structural relaxation, as listed in Alexandria.

The total magnetization comes out at 0.00 Bohr magnetons per cell. The distance to the lowest polymorph of the same formula comes out at 171 meV per atom. The calculation puts the calculated formation energy at 0.21 eV/atom. For the final energy, the calculation gives -5.9523 eV per atom.

It has space group R-3m (No. 166, hexagonal axes), with a = 2.9742 Å, b = 2.9742 Å, c = 25.5530 Å, α = 90.00°, β = 90.00° and γ = 120.00°. The distinct sites, in fractional coordinates, are Al at (0.0000, 0.0000, 0.0000), Tl at (0.0000, 0.0000, 0.5000) and Ru at (0.0000, 0.0000, 0.2575).